Record 1
VASP calculation (PBE) on a relaxed Rb2SbIr crystal.

Lattice parameters (Å, degrees): 13.025 13.025 4.971 90.00 90.00 90.00
Space group I-42d (No. 122)
One atom of each set of equivalent atoms:
Rb 0.047 0.250 0.125 (multiplicity 8)
Sb 0.000 0.000 0.500 (multiplicity 4)
Ir 0.000 0.000 0.000 (multiplicity 4)

Computed properties:
Crystal system = tetragonal

=====

Record 2
VASP calculation (PBE) on a relaxed Rb2SnSbIr crystal.

Lattice parameters (Å, degrees): 6.411 6.411 5.048 90.00 90.00 90.00
Space group P4/mmm (No. 123)
One atom of each set of equivalent atoms:
Rb 0.000 0.500 0.000 (multiplicity 2)
Sn 0.000 0.000 0.500 (multiplicity 1)
Sb 0.500 0.500 0.500 (multiplicity 1)
Ir 0.000 0.000 0.000 (multiplicity 1)

Computed properties:
Crystal system = tetragonal

=====

Record 3
VASP calculation (PBE) on a relaxed RbSb2TeIr crystal.

Lattice parameters (Å, degrees): 5.133 5.133 6.135 90.00 90.00 90.00
Space group P4/mmm (No. 123)
One atom of each set of equivalent atoms:
Rb 0.000 0.000 0.000 (multiplicity 1)
Sb 0.000 0.500 0.500 (multiplicity 2)
Te 0.500 0.500 0.000 (multiplicity 1)
Ir 0.500 0.500 0.500 (multiplicity 1)

Computed properties:
Crystal system = tetragonal
ΔE to the lowest computed polymorph = 0 meV per atom

=====

Record 4
VASP calculation (PBE) on a relaxed RbSb2TeIr crystal.

Lattice parameters (Å, degrees): 5.906 5.906 5.941 90.00 90.00 90.00
Space group P4/mmm (No. 123)
One atom of each set of equivalent atoms:
Rb 0.000 0.000 0.000 (multiplicity 1)
Sb 0.000 0.500 0.000 (multiplicity 2)
Te 0.000 0.000 0.500 (multiplicity 1)
Ir 0.500 0.500 0.500 (multiplicity 1)

Computed properties:
Crystal system = tetragonal
ΔE to the lowest computed polymorph = 2228 meV per atom

=====

Record 5
VASP calculation (PBE) on a relaxed RbSc2Ir crystal.

Lattice parameters (Å, degrees): 8.026 8.026 11.386 90.00 90.00 90.00
Space group I4_1/amd (No. 141, origin choice 2)
One atom of each set of equivalent atoms:
Rb 0.000 0.250 0.375 (multiplicity 4)
Sc 0.000 0.000 0.000 (multiplicity 8)
Ir 0.000 0.250 0.875 (multiplicity 4)

Computed properties:
Crystal system = tetragonal
ΔE to the lowest computed polymorph = 471 meV per atom
Formation energy = 0.29 eV/atom

=====

Record 6
VASP calculation (PBE) on a relaxed RbSc2Ir crystal.

Lattice parameters (Å, degrees): 3.2002 3.2002 35.0139 90.00 90.00 120.00
Space group R-3m (No. 166, hexagonal axes)
One atom of each set of equivalent atoms:
Rb 0.0000 0.0000 0.0000 (multiplicity 3)
Sc 0.0000 0.0000 0.4309 (multiplicity 6)
Ir 0.0000 0.0000 0.5000 (multiplicity 3)

Computed properties:
Crystal system = trigonal
ΔE to the lowest computed polymorph = 817 meV per atom
Formation energy = 0.64 eV/atom

=====

Record 7
VASP calculation (PBE) on a relaxed Rb2ScIr crystal.

Lattice parameters (Å, degrees): 12.976 12.976 4.817 90.00 90.00 90.00
Space group I-42d (No. 122)
One atom of each set of equivalent atoms:
Rb 0.091 0.250 0.125 (multiplicity 8)
Sc 0.000 0.000 0.500 (multiplicity 4)
Ir 0.000 0.000 0.000 (multiplicity 4)

Computed properties:
Crystal system = tetragonal
ΔE to the lowest computed polymorph = 0 meV per atom
Formation energy = 0.49 eV/atom

=====

Record 8
VASP calculation (PBE) on a relaxed RbSc2Ir crystal.

Lattice parameters (Å, degrees): 3.9788 3.9788 30.4860 90.00 90.00 120.00
Space group R-3m (No. 166, hexagonal axes)
One atom of each set of equivalent atoms:
Rb 0.0000 0.0000 0.0000 (multiplicity 3)
Sc 0.0000 0.0000 0.1259 (multiplicity 6)
Ir 0.0000 0.0000 0.5000 (multiplicity 3)

Computed properties:
Crystal system = trigonal
ΔE to the lowest computed polymorph = 0 meV per atom
Formation energy = -0.18 eV/atom

=====

Record 9
VASP calculation (PBE) on a relaxed RbSc2Ir crystal.

Lattice parameters (Å, degrees): 7.036 7.036 7.036 90.00 90.00 90.00
Space group Fm-3m (No. 225)
One atom of each set of equivalent atoms:
Rb 0.000 0.000 0.000 (multiplicity 4)
Sc 0.250 0.250 0.250 (multiplicity 8)
Ir 0.000 0.000 0.500 (multiplicity 4)

Computed properties:
Crystal system = cubic
ΔE to the lowest computed polymorph = 500 meV per atom
Formation energy = 0.32 eV/atom

=====

Record 10
VASP calculation (PBE) on a relaxed Rb2ScIr crystal.

Lattice parameters (Å, degrees): 7.847 7.847 7.847 90.00 90.00 90.00
Space group Fm-3m (No. 225)
One atom of each set of equivalent atoms:
Rb 0.250 0.250 0.250 (multiplicity 8)
Sc 0.000 0.000 0.000 (multiplicity 4)
Ir 0.000 0.000 0.500 (multiplicity 4)

Computed properties:
Crystal system = cubic
ΔE to the lowest computed polymorph = 835 meV per atom
Formation energy = 1.33 eV/atom

=====

Record 11
VASP calculation (PBE) on a relaxed RbSr2ScIr crystal.

Lattice parameters (Å, degrees): 5.991 5.991 5.048 90.00 90.00 90.00
Space group P4/mmm (No. 123)
One atom of each set of equivalent atoms:
Rb 0.000 0.000 0.000 (multiplicity 1)
Sr 0.000 0.500 0.000 (multiplicity 2)
Sc 0.500 0.500 0.500 (multiplicity 1)
Ir 0.000 0.000 0.500 (multiplicity 1)

Computed properties:
Crystal system = tetragonal
Formation energy = 1.38 eV/atom

=====

Record 12
VASP calculation (PBE) on a relaxed RbSrScIr2 crystal.

Lattice parameters (Å, degrees): 5.111 5.111 4.870 90.00 90.00 90.00
Space group P4/mmm (No. 123)
One atom of each set of equivalent atoms:
Rb 0.000 0.000 0.000 (multiplicity 1)
Sr 0.500 0.500 0.500 (multiplicity 1)
Sc 0.000 0.000 0.500 (multiplicity 1)
Ir 0.000 0.500 0.000 (multiplicity 2)

Computed properties:
Crystal system = tetragonal
Formation energy = 1.73 eV/atom

=====

Record 13
VASP calculation (PBE) on a relaxed RbScTc2Ir crystal.

Lattice parameters (Å, degrees): 4.661 4.661 4.839 90.00 90.00 90.00
Space group P4/mmm (No. 123)
One atom of each set of equivalent atoms:
Rb 0.000 0.000 0.000 (multiplicity 1)
Sc 0.500 0.500 0.500 (multiplicity 1)
Tc 0.000 0.500 0.000 (multiplicity 2)
Ir 0.000 0.000 0.500 (multiplicity 1)

Computed properties:
Crystal system = tetragonal
Formation energy = 2.66 eV/atom

=====

Record 14
VASP calculation (PBE) on a relaxed RbYSc2Ir crystal.

Lattice parameters (Å, degrees): 5.258 5.258 5.554 90.00 90.00 90.00
Space group P4/mmm (No. 123)
One atom of each set of equivalent atoms:
Rb 0.000 0.000 0.000 (multiplicity 1)
Y 0.500 0.500 0.000 (multiplicity 1)
Sc 0.000 0.500 0.500 (multiplicity 2)
Ir 0.500 0.500 0.500 (multiplicity 1)

Computed properties:
Crystal system = tetragonal
Formation energy = -0.08 eV/atom

=====

Record 15
VASP calculation (PBE) on a relaxed RbZrSc2Ir crystal.

Lattice parameters (Å, degrees): 5.452 5.452 4.981 90.00 90.00 90.00
Space group P4/mmm (No. 123)
One atom of each set of equivalent atoms:
Rb 0.000 0.000 0.000 (multiplicity 1)
Zr 0.500 0.500 0.500 (multiplicity 1)
Sc 0.000 0.500 0.500 (multiplicity 2)
Ir 0.500 0.500 0.000 (multiplicity 1)

Computed properties:
Crystal system = tetragonal
Formation energy = 0.77 eV/atom

=====

Record 16
VASP calculation (PBE) on a relaxed RbIrSe2 crystal.

Lattice parameters (Å, degrees): 7.739 7.739 7.688 90.00 90.00 90.00
Space group I-42d (No. 122)
One atom of each set of equivalent atoms:
Rb 0.000 0.000 0.000 (multiplicity 4)
Ir 0.000 0.000 0.500 (multiplicity 4)
Se 0.135 0.250 0.625 (multiplicity 8)

Computed properties:
Crystal system = tetragonal

=====

Record 17
VASP calculation (PBE) on a relaxed RbIr4Se8 crystal.

Lattice parameters (Å, degrees): 7.5003 7.5003 24.2953 90.00 90.00 120.00
Space group R-3m (No. 166, hexagonal axes)
One atom of each set of equivalent atoms:
Rb 0.0000 0.0000 0.0000 (multiplicity 3)
Ir 0.0000 0.0000 0.5000 (multiplicity 3)
Ir 0.0000 0.5000 0.5000 (multiplicity 9)
Se 0.0000 0.0000 0.2192 (multiplicity 6)
Se 0.0014 0.5007 0.2193 (multiplicity 18)

Computed properties:
Crystal system = trigonal

=====

Record 18
VASP calculation (PBE) on a relaxed RbIrSe2 crystal.

Lattice parameters (Å, degrees): 8.644 14.852 3.646 90.00 90.00 90.00
Space group Cmcm (No. 63)
One atom of each set of equivalent atoms:
Rb 0.000 0.181 0.250 (multiplicity 4)
Ir 0.000 0.429 0.750 (multiplicity 4)
Se 0.181 0.387 0.250 (multiplicity 8)

Computed properties:
Crystal system = orthorhombic

=====

Record 19
VASP calculation (PBE) on a relaxed RbIr2Se4 crystal.

Lattice parameters (Å, degrees): 6.521 3.852 8.117 90.00 106.51 90.00
Space group P2/m (No. 10)
One atom of each set of equivalent atoms:
Rb 0.000 0.000 0.000 (multiplicity 1)
Ir 0.000 0.500 0.500 (multiplicity 1)
Ir 0.500 0.000 0.500 (multiplicity 1)
Se 0.222 0.000 0.659 (multiplicity 2)
Se 0.281 0.500 0.341 (multiplicity 2)

Computed properties:
Crystal system = monoclinic

=====

Record 20
VASP calculation (PBE) on a relaxed Rb2IrSe2 crystal.

Lattice parameters (Å, degrees): 3.850 3.850 21.247 90.00 90.00 90.00
Space group I4/mmm (No. 139)
One atom of each set of equivalent atoms:
Rb 0.000 0.000 0.106 (multiplicity 4)
Ir 0.000 0.000 0.500 (multiplicity 2)
Se 0.000 0.500 0.250 (multiplicity 4)

Computed properties:
Crystal system = tetragonal

=====

| no. | final energy (eV/atom) | density of states at the Fermi level (states/eV per cell) |
| --- | --- | --- |
| 1 | -3.633 | 10.901 |
| 2 | -3.310 | 5.052 |
| 3 | -4.180 | 2.375 |
| 4 | -1.952 | 8.205 |
| 5 | -5.328 | 0.211 |
| 6 | -4.982 | 12.911 |
| 7 | -3.788 | 6.627 |
| 8 | -5.799 | 8.478 |
| 9 | -5.299 | 17.154 |
| 10 | -2.953 | 20.408 |
| 11 | -2.527 | 8.258 |
| 12 | -3.613 | 5.357 |
| 13 | -4.715 | 7.995 |
| 14 | -5.869 | 9.436 |
| 15 | -5.438 | 5.777 |
| 16 | -4.664 | 0.071 |
| 17 | -5.311 | 63.066 |
| 18 | -4.568 | 12.917 |
| 19 | -5.142 | 7.851 |
| 20 | -3.134 | 14.486 |